1.
Rb3Pa2Se5Br2 (PBE, optimized geometry); SG = No. 139; E_form (uncorrected) = -142 kJ/mol of atoms; size of the total moment = 1.07 μB per cell; VASP energy = -5.024 eV per atom
1.0
-2.7802 2.7802 14.3321
2.7802 -2.7802 14.3321
2.7802 2.7802 -14.3321
Rb Pa Se Br
3 2 5 2
Cartesian
0.0000 0.0000 0.0000 Rb
0.0000 0.0000 5.1245 Rb
0.0000 0.0000 23.5397 Rb
0.0000 0.0000 11.5773 Pa
0.0000 0.0000 17.0869 Pa
2.7802 0.0000 2.8196 Se
2.7802 0.0000 11.5125 Se
0.0000 0.0000 14.3321 Se
0.0000 2.7802 2.8196 Se
0.0000 2.7802 11.5125 Se
0.0000 0.0000 8.6519 Br
0.0000 0.0000 20.0123 Br

2.
ZrAlSn2Hg (PBE, optimized geometry); SG = No. 123; size of the total moment = 0.00 μB per cell; VASP energy = -3.611 eV per atom
1.0
5.1308 0.0000 0.0000
0.0000 5.1308 0.0000
0.0000 0.0000 5.2751
Zr Al Sn Hg
1 1 2 1
Cartesian
0.0000 0.0000 0.0000 Zr
0.0000 0.0000 2.6376 Al
0.0000 2.5654 2.6376 Sn
2.5654 0.0000 2.6376 Sn
2.5654 2.5654 0.0000 Hg

3.
Ca3AsPd (PBE, optimized geometry); SG = No. 221; size of the total moment = 0.00 μB per cell; relative energy among the computed polymorphs = 0 meV/atom; VASP energy = -3.606 eV per atom
1.0
5.4960 0.0000 0.0000
0.0000 5.4960 0.0000
0.0000 0.0000 5.4960
Ca As Pd
3 1 1
Cartesian
0.0000 0.0000 2.7480 Ca
0.0000 2.7480 0.0000 Ca
2.7480 0.0000 0.0000 Ca
0.0000 0.0000 0.0000 As
2.7480 2.7480 2.7480 Pd

4.
CaMg2Sc (PBE, optimized geometry); SG = No. 166; size of the total moment = 0.00 μB per cell; VASP energy = -2.794 eV per atom
1.0
3.4578 0.0000 0.0000
-1.7289 2.9946 0.0000
0.0000 0.0000 32.0834
Ca Mg Sc
3 6 3
Cartesian
0.0000 0.0000 0.0000 Ca
0.0000 1.9964 21.3889 Ca
1.7289 0.9982 10.6944 Ca
0.0000 0.0000 7.8448 Mg
0.0000 0.0000 24.2386 Mg
0.0000 1.9964 13.5442 Mg
0.0000 1.9964 29.2337 Mg
1.7289 0.9982 2.8497 Mg
1.7289 0.9982 18.5392 Mg
0.0000 0.0000 16.0417 Sc
0.0000 1.9964 5.3472 Sc
1.7289 0.9982 26.7361 Sc

5.
NbInAgSn2 (PBE, optimized geometry); SG = No. 123; size of the total moment = 3.08 μB per cell; VASP energy = -3.729 eV per atom
1.0
5.2781 0.0000 0.0000
0.0000 5.2781 0.0000
0.0000 0.0000 5.1688
Nb In Ag Sn
1 1 1 2
Cartesian
0.0000 0.0000 0.0000 Nb
2.6391 2.6391 0.0000 In
2.6391 2.6391 2.5844 Ag
0.0000 2.6391 2.5844 Sn
2.6391 0.0000 2.5844 Sn

6.
Mg2FeRe (PBE, optimized geometry); SG = No. 225; size of the total moment = 16.39 μB per cell; relative energy among the computed polymorphs = 518 meV/atom; VASP energy = -5.382 eV per atom
1.0
6.3253 0.0000 0.0000
0.0000 6.3253 0.0000
0.0000 0.0000 6.3253
Mg Fe Re
8 4 4
Cartesian
1.5813 1.5813 1.5813 Mg
1.5813 1.5813 4.7440 Mg
1.5813 4.7440 1.5813 Mg
1.5813 4.7440 4.7440 Mg
4.7440 1.5813 1.5813 Mg
4.7440 1.5813 4.7440 Mg
4.7440 4.7440 1.5813 Mg
4.7440 4.7440 4.7440 Mg
0.0000 0.0000 0.0000 Fe
0.0000 3.1626 3.1626 Fe
3.1626 0.0000 3.1626 Fe
3.1626 3.1626 0.0000 Fe
0.0000 0.0000 3.1626 Re
0.0000 3.1626 0.0000 Re
3.1626 0.0000 0.0000 Re
3.1626 3.1626 3.1626 Re

7.
LiMgClO (PBE, optimized geometry); SG = No. 160; E_form (uncorrected) = -198 kJ/mol of atoms; size of the total moment = 0.00 μB per cell; VASP energy = -4.626 eV per atom
1.0
3.2434 0.0000 0.0000
-1.6217 2.8089 0.0000
0.0000 0.0000 17.0546
Li Mg Cl O
3 3 3 3
Cartesian
0.0000 0.0000 0.0000 Li
0.0000 1.8726 11.3697 Li
1.6217 0.9363 5.6849 Li
0.0000 0.0000 9.2973 Mg
0.0000 1.8726 3.6124 Mg
1.6217 0.9363 14.9821 Mg
0.0000 0.0000 13.1281 Cl
0.0000 1.8726 7.4432 Cl
1.6217 0.9363 1.7583 Cl
0.0000 0.0000 4.4749 O
0.0000 1.8726 15.8446 O
1.6217 0.9363 10.1597 O

8.
Sm2Th4Ge3N2 (PBE, optimized geometry); SG = No. 139; E_form (uncorrected) = -89 kJ/mol of atoms; size of the total moment = 0.00 μB per cell; VASP energy = -7.250 eV per atom
1.0
-2.3760 2.3760 12.2296
2.3760 -2.3760 12.2296
2.3760 2.3760 -12.2296
Sm Th Ge N
2 4 3 2
Cartesian
0.0000 0.0000 4.9074 Sm
0.0000 0.0000 19.5517 Sm
2.3760 0.0000 1.9785 Th
2.3760 0.0000 10.2511 Th
0.0000 2.3760 1.9785 Th
0.0000 2.3760 10.2511 Th
0.0000 0.0000 7.9656 Ge
0.0000 0.0000 12.2296 Ge
0.0000 0.0000 16.4935 Ge
0.0000 0.0000 2.4987 N
0.0000 0.0000 21.9605 N

9.
ZnCr2Cu (PBE, optimized geometry); SG = No. 166; size of the total moment = 1.52 μB per cell; VASP energy = -5.794 eV per atom
1.0
2.5474 0.0000 0.0000
-1.2737 2.2061 0.0000
0.0000 0.0000 26.3838
Zn Cr Cu
3 6 3
Cartesian
0.0000 0.0000 0.0000 Zn
0.0000 1.4708 17.5892 Zn
1.2737 0.7354 8.7946 Zn
0.0000 0.0000 6.5539 Cr
0.0000 0.0000 19.8299 Cr
0.0000 1.4708 11.0353 Cr
0.0000 1.4708 24.1431 Cr
1.2737 0.7354 2.2407 Cr
1.2737 0.7354 15.3485 Cr
0.0000 0.0000 13.1919 Cu
0.0000 1.4708 4.3973 Cu
1.2737 0.7354 21.9865 Cu

10.
BeC2 (PBE, optimized geometry); SG = No. 141; size of the total moment = 0.00 μB per cell; relative energy among the computed polymorphs = 180 meV/atom; VASP energy = -6.825 eV per atom
1.0
2.5266 0.0000 0.0000
0.0000 2.5266 0.0000
0.0000 0.0000 13.8835
Be C
4 8
Cartesian
0.0000 0.6317 5.2063 Be
0.0000 1.8950 8.6772 Be
1.2633 0.6317 1.7354 Be
1.2633 1.8950 12.1481 Be
0.0000 0.6317 0.3611 C
0.0000 0.6317 10.0516 C
0.0000 1.8950 3.8319 C
0.0000 1.8950 13.5225 C
1.2633 0.6317 6.5807 C
1.2633 0.6317 10.7737 C
1.2633 1.8950 3.1098 C
1.2633 1.8950 7.3028 C

11.
KInSb2Rh (PBE, optimized geometry); SG = No. 123; E_form (uncorrected) = 6 kJ/mol of atoms; size of the total moment = 0.00 μB per cell; VASP energy = -3.826 eV per atom
1.0
5.1257 0.0000 0.0000
0.0000 5.1257 0.0000
0.0000 0.0000 5.8679
K In Sb Rh
1 1 2 1
Cartesian
0.0000 0.0000 0.0000 K
2.5628 2.5628 0.0000 In
0.0000 2.5628 2.9339 Sb
2.5628 0.0000 2.9339 Sb
0.0000 0.0000 2.9339 Rh

12.
BaZn2Fe (PBE, optimized geometry); SG = No. 12; size of the total moment = 4.59 μB per cell; VASP energy = -3.138 eV per atom
1.0
7.5230 0.0000 0.0000
0.0000 4.3658 0.0000
-2.5557 0.0000 5.8926
Ba Zn Fe
2 4 2
Cartesian
0.0000 0.0000 0.0000 Ba
3.7615 2.1829 0.0000 Ba
-0.0277 0.0000 3.3921 Zn
1.2335 2.1829 2.5005 Zn
3.7338 2.1829 3.3921 Zn
4.9951 0.0000 2.5005 Zn
-1.2778 2.1829 2.9463 Fe
2.4837 0.0000 2.9463 Fe

13.
PaSb3 (PBE, optimized geometry); SG = No. 194; E_form (uncorrected) = -33 kJ/mol of atoms; size of the total moment = 0.00 μB per cell; relative energy among the computed polymorphs = 3 meV/atom; VASP energy = -5.803 eV per atom
1.0
6.3882 0.0000 0.0000
-3.1941 5.5323 0.0000
0.0000 0.0000 5.9233
Pa Sb
2 6
Cartesian
0.0000 3.6882 1.4808 Pa
3.1941 1.8441 4.4425 Pa
0.0000 1.9034 4.4425 Sb
-1.5457 4.5806 4.4425 Sb
1.6484 0.9517 1.4808 Sb
1.5457 4.5806 4.4425 Sb
4.7398 0.9517 1.4808 Sb
3.1941 3.6289 1.4808 Sb

14.
La15Tm4In (PBE, optimized geometry); SG = No. 123; size of the total moment = 0.00 μB per cell; VASP energy = -4.774 eV per atom
1.0
5.1542 0.0000 0.0000
0.0000 5.1542 0.0000
0.0000 0.0000 25.9471
La Tm In
15 4 1
Cartesian
0.0000 0.0000 0.0000 La
0.0000 0.0000 5.1549 La
0.0000 0.0000 10.3427 La
0.0000 0.0000 15.6044 La
0.0000 0.0000 20.7922 La
0.0000 2.5771 2.5298 La
0.0000 2.5771 7.7603 La
0.0000 2.5771 12.9736 La
0.0000 2.5771 18.1868 La
0.0000 2.5771 23.4173 La
2.5771 0.0000 2.5298 La
2.5771 0.0000 7.7603 La
2.5771 0.0000 12.9736 La
2.5771 0.0000 18.1868 La
2.5771 0.0000 23.4173 La
2.5771 2.5771 5.1476 Tm
2.5771 2.5771 10.3665 Tm
2.5771 2.5771 15.5806 Tm
2.5771 2.5771 20.7995 Tm
2.5771 2.5771 0.0000 In

15.
RbScSb2As (PBE, optimized geometry); SG = No. 123; E_form (uncorrected) = 156 kJ/mol of atoms; size of the total moment = 0.85 μB per cell; VASP energy = -2.420 eV per atom
1.0
5.8974 0.0000 0.0000
0.0000 5.8974 0.0000
0.0000 0.0000 5.3105
Rb Sc Sb As
1 1 2 1
Cartesian
0.0000 0.0000 0.0000 Rb
0.0000 0.0000 2.6552 Sc
0.0000 2.9487 0.0000 Sb
2.9487 0.0000 0.0000 Sb
2.9487 2.9487 2.6552 As

16.
Na6Pd3F14 (PBE, optimized geometry); SG = No. 143; E_form (uncorrected) = -189 kJ/mol of atoms; size of the total moment = 3.87 μB per cell; VASP energy = -4.125 eV per atom
1.0
8.4463 0.0000 0.0000
-4.2231 7.3147 0.0000
0.0000 0.0000 5.7908
Na Pd F
6 3 14
Cartesian
-2.0705 4.3767 0.0000 Na
1.9590 0.1193 2.9580 Na
1.4681 3.3332 0.0000 Na
0.6025 6.9195 0.0000 Na
3.3469 5.5585 2.9580 Na
7.3635 1.6369 2.9580 Na
0.0000 0.0000 5.6331 Pd
0.0000 4.8765 2.6158 Pd
4.2231 2.4382 2.8391 Pd
0.0000 0.0000 1.9510 F
-3.1998 5.9235 4.4192 F
-0.4757 3.2273 1.3694 F
0.6931 1.5819 4.4192 F
-1.1904 6.1130 1.3694 F
0.0000 4.8765 4.7297 F
2.6979 1.9867 1.7061 F
3.8491 0.8828 3.9697 F
1.6661 5.2891 1.3694 F
3.0631 3.5398 3.9697 F
5.3768 1.3431 1.7061 F
2.5067 7.1240 4.4192 F
4.5947 3.9849 1.7061 F
5.7572 2.8920 3.9697 F

17.
TbBiSe2 (PBE, optimized geometry); SG = No. 166; E_form (uncorrected) = -107 kJ/mol of atoms; size of the total moment = 0.00 μB per cell; VASP energy = -4.976 eV per atom
1.0
4.0326 0.0000 0.0000
-2.0163 3.4923 0.0000
0.0000 0.0000 27.2583
Tb Bi Se
3 3 6
Cartesian
0.0000 0.0000 0.0000 Tb
0.0000 2.3282 18.1722 Tb
2.0163 1.1641 9.0861 Tb
0.0000 0.0000 13.6291 Bi
0.0000 2.3282 4.5431 Bi
2.0163 1.1641 22.7152 Bi
0.0000 0.0000 10.7301 Se
0.0000 0.0000 16.5282 Se
0.0000 2.3282 1.6440 Se
0.0000 2.3282 7.4421 Se
2.0163 1.1641 19.8162 Se
2.0163 1.1641 25.6143 Se

18.
La4InSi (PBE, optimized geometry); SG = No. 216; E_form (uncorrected) = 23 kJ/mol of atoms; size of the total moment = 0.00 μB per cell; relative energy among the computed polymorphs = 669 meV/atom; VASP energy = -4.405 eV per atom
1.0
0.0000 4.5207 4.5207
4.5207 0.0000 4.5207
4.5207 4.5207 0.0000
La In Si
4 1 1
Cartesian
1.1223 1.1223 1.1223 La
3.3983 3.3983 1.1223 La
3.3983 1.1223 3.3983 La
1.1223 3.3983 3.3983 La
4.5207 4.5207 4.5207 In
6.7810 6.7810 6.7810 Si

19.
YCr2Br (PBE, optimized geometry); SG = No. 8; E_form (uncorrected) = 4 kJ/mol of atoms; size of the total moment = 0.12 μB per cell; relative energy among the computed polymorphs = 19 meV/atom; VASP energy = -6.808 eV per atom
1.0
6.6249 0.0000 0.0000
0.0000 3.8519 0.0000
-0.0294 0.0000 7.2252
Y Cr Br
2 4 2
Cartesian
0.0000 0.0000 0.0000 Y
3.3125 1.9260 0.0000 Y
1.0965 1.9260 1.8835 Cr
2.1886 0.0000 2.6160 Cr
4.4090 0.0000 1.8835 Cr
5.5011 1.9260 2.6160 Cr
2.1826 0.0000 5.1947 Br
5.4951 1.9260 5.1947 Br

20.
RbCeWN4 (PBE, optimized geometry); SG = No. 11; E_form (uncorrected) = -50 kJ/mol of atoms; size of the total moment = 2.11 μB per cell; VASP energy = -8.116 eV per atom
1.0
6.2555 0.0000 0.0000
0.0000 6.0833 0.0000
-2.2993 0.0000 7.7145
Rb Ce W N
2 2 2 8
Cartesian
0.2526 1.5208 3.3127 Rb
3.7035 4.5625 4.4018 Rb
-0.3151 1.5208 7.3284 Ce
4.2712 4.5625 0.3861 Ce
1.1176 4.5625 1.1551 W
2.8385 1.5208 6.5594 W
-0.4716 4.5625 2.1758 N
-1.9723 4.5625 7.2003 N
2.3420 3.1283 1.2229 N
2.3420 5.9966 1.2229 N
1.6142 0.0867 6.4916 N
1.6142 2.9550 6.4916 N
5.9284 1.5208 0.5142 N
4.4277 1.5208 5.5387 N

21.
PmDyEr2Se4 (PBE, optimized geometry); SG = No. 10; E_form (uncorrected) = -168 kJ/mol of atoms; size of the total moment = 0.00 μB per cell; VASP energy = -5.793 eV per atom
1.0
7.0528 0.0000 0.0000
0.0000 4.0233 0.0000
-2.3007 0.0000 6.8050
Pm Dy Er Se
1 1 2 4
Cartesian
0.0000 0.0000 0.0000 Pm
3.5264 2.0117 0.0000 Dy
-1.1504 2.0117 3.4025 Er
2.3760 0.0000 3.4025 Er
0.0702 0.0000 5.0511 Se
1.2226 2.0117 1.7786 Se
3.5295 2.0117 5.0264 Se
4.6819 0.0000 1.7539 Se